Version A
DFT (GGA-PBE) results for a relaxed structure of KZr2Pt.

Cell: 4.557 4.557 4.275 Å, 90.00 90.00 90.00°
Positions (direct):
K: 0.000 0.000 0.000
Zr: 0.000 0.500 0.500
Zr: 0.500 0.000 0.500
Pt: 0.500 0.500 0.000

Properties
Size of the total moment ... 0.00 μB per formula unit

***

Version B
DFT (GGA-PBE) results for a relaxed structure of KZr2Pt.

Cell: 3.384 3.384 9.437 Å, 90.00 90.00 90.00°
Positions (direct):
K: 0.000 0.000 0.000
Zr: 0.000 0.000 0.414
Zr: 0.500 0.500 0.630
Pt: 0.500 0.500 0.272

Properties
Size of the total moment ... 0.00 μB per formula unit

***

Least stable = version A

***

Version A
DFT (GGA-PBE) results for a relaxed structure of KZrPt.

Cell: 5.056 5.056 2.940 Å, 90.00 90.00 120.00°
Positions (direct):
K: 0.000 0.000 0.000
Zr: 0.333 0.667 0.676
Pt: 0.667 0.333 0.393

Properties
Size of the total moment ... 0.00 μB per formula unit

***

Version B
DFT (GGA-PBE) results for a relaxed structure of KZrPt.

Cell: 7.565 7.565 7.565 Å, 153.26 153.26 38.17°
Positions (direct):
K: 0.000 0.000 0.000
Zr: 0.743 0.743 0.000
Pt: 0.319 0.319 0.000

Properties
Size of the total moment ... 0.00 μB per formula unit

***

Version C
DFT (GGA-PBE) results for a relaxed structure of KZrPt.

Cell: 3.871 3.871 7.558 Å, 90.00 90.00 120.00°
Positions (direct):
K: 0.000 0.000 0.000
Zr: 0.333 0.667 0.509
Pt: 0.667 0.333 0.339

Properties
Size of the total moment ... 0.00 μB per formula unit

***

Least stable = version A